Computed, not measured: a geometry-optimized LiNd3Hg structure at the PBE-GGA level of DFT. Values from VASP.

Structure (Quantum ESPRESSO input):
```
&SYSTEM
  ibrav = 0, nat = 20, ntyp = 3
/
ATOMIC_SPECIES
Li 6.94 Li.upf
Nd 144.24 Nd.upf
Hg 200.59 Hg.upf
CELL_PARAMETERS angstrom
6.854 0.000 0.000
0.000 7.926 1.725
0.000 0.498 11.089
ATOMIC_POSITIONS crystal
Li 0.215 0.043 0.477
Li 0.785 0.957 0.523
Li 0.715 0.957 0.023
Li 0.285 0.043 0.977
Nd 0.014 0.828 0.269
Nd 0.986 0.172 0.731
Nd 0.514 0.172 0.231
Nd 0.486 0.828 0.769
Nd 0.516 0.743 0.360
Nd 0.484 0.257 0.640
Nd 0.016 0.257 0.140
Nd 0.984 0.743 0.860
Nd 0.169 0.612 0.595
Nd 0.831 0.388 0.405
Nd 0.669 0.388 0.905
Nd 0.331 0.612 0.095
Hg 0.780 0.599 0.121
Hg 0.220 0.401 0.879
Hg 0.280 0.401 0.379
Hg 0.720 0.599 0.621
```



Computed, not measured: a geometry-optimized Li3Nd2Hg2 structure at the PBE-GGA level of DFT. Values from VASP.

Structure (Quantum ESPRESSO input):
```
&SYSTEM
  ibrav = 0, nat = 7, ntyp = 3
/
ATOMIC_SPECIES
Li 6.94 Li.upf
Nd 144.24 Nd.upf
Hg 200.59 Hg.upf
CELL_PARAMETERS angstrom
-1.053 -1.341 4.441
2.973 -4.050 -3.067
4.495 4.793 2.513
ATOMIC_POSITIONS crystal
Li 0.500 0.000 0.000
Li 0.621 0.241 0.431
Li 0.379 0.759 0.569
Nd 0.856 0.712 0.227
Nd 0.144 0.288 0.773
Hg 0.851 0.702 0.773
Hg 0.149 0.298 0.227
```



Computed, not measured: a geometry-optimized LiNd6Hg structure at the PBE-GGA level of DFT. Values from VASP.

Structure (Quantum ESPRESSO input):
```
&SYSTEM
  ibrav = 0, nat = 8, ntyp = 3
/
ATOMIC_SPECIES
Li 6.94 Li.upf
Nd 144.24 Nd.upf
Hg 200.59 Hg.upf
CELL_PARAMETERS angstrom
-2.223 -3.997 2.543
4.669 -2.324 0.430
2.631 1.148 9.490
ATOMIC_POSITIONS crystal
Li 0.000 0.000 0.000
Nd 0.752 0.752 0.497
Nd 0.611 0.111 0.778
Nd 0.111 0.611 0.778
Nd 0.389 0.889 0.222
Nd 0.248 0.248 0.503
Nd 0.889 0.389 0.222
Hg 0.500 0.500 0.000
```



Computed, not measured: a geometry-optimized Li5NdHg7 structure at the PBE-GGA level of DFT. Values from VASP.

Structure (Quantum ESPRESSO input):
```
&SYSTEM
  ibrav = 0, nat = 13, ntyp = 3
/
ATOMIC_SPECIES
Li 6.94 Li.upf
Nd 144.24 Nd.upf
Hg 200.59 Hg.upf
CELL_PARAMETERS angstrom
-3.463 -1.818 3.834
2.993 0.498 6.852
-4.453 5.488 2.491
ATOMIC_POSITIONS crystal
Li 0.499 0.002 0.493
Li 0.006 0.002 0.493
Li 0.499 0.493 0.002
Li 0.006 0.493 0.002
Li 0.740 0.760 0.760
Nd 0.993 0.007 0.007
Hg 0.644 0.356 0.356
Hg 0.326 0.674 0.674
Hg 0.989 0.349 0.674
Hg 0.989 0.674 0.349
Hg 0.273 0.227 0.227
Hg 0.519 0.794 0.168
Hg 0.519 0.168 0.794
```



Computed, not measured: a geometry-optimized Li2NdHg structure at the PBE-GGA level of DFT. Values from VASP.

Structure (Quantum ESPRESSO input):
```
&SYSTEM
  ibrav = 0, nat = 8, ntyp = 3
/
ATOMIC_SPECIES
Li 6.94 Li.upf
Nd 144.24 Nd.upf
Hg 200.59 Hg.upf
CELL_PARAMETERS angstrom
4.756 0.000 0.000
0.000 5.716 0.000
0.000 0.000 6.949
ATOMIC_POSITIONS crystal
Li 0.000 0.241 0.893
Li 0.000 0.759 0.893
Li 0.500 0.259 0.107
Li 0.500 0.741 0.107
Nd 0.000 0.000 0.428
Nd 0.500 0.500 0.572
Hg 0.000 0.500 0.239
Hg 0.500 0.000 0.761
```

Computed properties:
Relative energy among the computed polymorphs ... 0 meV per atom



Computed, not measured: a geometry-optimized Li2NdHg structure at the PBE-GGA level of DFT. Values from VASP.

Structure (Quantum ESPRESSO input):
```
&SYSTEM
  ibrav = 0, nat = 4, ntyp = 3
/
ATOMIC_SPECIES
Nd 144.24 Nd.upf
Hg 200.59 Hg.upf
Li 6.94 Li.upf
CELL_PARAMETERS angstrom
5.077 0.000 0.000
0.000 4.449 0.000
0.000 0.000 4.449
ATOMIC_POSITIONS crystal
Nd 0.500 0.000 0.000
Hg 0.500 0.500 0.500
Li 0.000 0.000 0.500
Li 0.000 0.500 0.000
```

Computed properties:
Relative energy among the computed polymorphs ... 153 meV per atom



Computed, not measured: a geometry-optimized Li2NdHg structure at the PBE-GGA level of DFT. Values from VASP.

Structure (Quantum ESPRESSO input):
```
&SYSTEM
  ibrav = 0, nat = 4, ntyp = 3
/
ATOMIC_SPECIES
Nd 144.24 Nd.upf
Hg 200.59 Hg.upf
Li 6.94 Li.upf
CELL_PARAMETERS angstrom
3.559 0.000 0.000
0.000 3.559 0.000
0.000 0.000 7.138
ATOMIC_POSITIONS crystal
Nd 0.500 0.500 0.500
Hg 0.500 0.500 0.000
Li 0.000 0.000 0.811
Li 0.000 0.000 0.189
```

Computed properties:
Relative energy among the computed polymorphs ... 98 meV per atom



Computed, not measured: a geometry-optimized LiNd4Hg structure at the PBE-GGA level of DFT. Values from VASP.

Structure (Quantum ESPRESSO input):
```
&SYSTEM
  ibrav = 0, nat = 12, ntyp = 3
/
ATOMIC_SPECIES
Li 6.94 Li.upf
Nd 144.24 Nd.upf
Hg 200.59 Hg.upf
CELL_PARAMETERS angstrom
5.828 -0.544 0.000
-2.150 8.669 0.000
-1.839 -4.063 7.293
ATOMIC_POSITIONS crystal
Li 0.251 0.001 0.001
Li 0.749 0.999 0.999
Nd 0.075 0.213 0.815
Nd 0.757 0.702 0.600
Nd 0.241 0.603 0.815
Nd 0.343 0.898 0.600
Nd 0.657 0.102 0.400
Nd 0.759 0.397 0.185
Nd 0.243 0.298 0.400
Nd 0.925 0.787 0.185
Hg 0.359 0.609 0.217
Hg 0.641 0.391 0.783
```



Computed DFT formation energy (eV/atom) in order:
-0.094; -0.278; -0.099; -0.312; -0.235; -0.081; -0.137; -0.047